(1)
ZnNi3 | PBE | optimized geometry

extended XYZ file:
```
4
Lattice="2.569 0.000 0.000 0.000 4.128 0.000 0.000 0.000 4.318" Properties=species:S:1:pos:R:3 pbc="T T T"
Ni 1.284 0.000 2.152
Ni 1.284 2.064 3.634
Ni 0.000 0.000 4.262
Zn 0.000 2.064 1.467
```

## Properties
Space group   Pmm2
Energy of formation from the pure elements   -0.090 eV/atom

---

(2)
TaCoW2 | PBE | optimized geometry

extended XYZ file:
```
4
Lattice="-1.440 -1.241 -2.573 1.725 -3.890 0.911 -3.557 -0.998 2.472" Properties=species:S:1:pos:R:3 pbc="T T T"
Co -2.498 -1.120 -0.051
W 0.000 0.000 0.000
W 0.142 -2.565 -0.831
Ta -0.916 -2.444 1.691
```

## Properties
Space group   Pmmm
Energy of formation from the pure elements   0.050 eV/atom